# 1
{"formula": "PrSm5Rh6", "functional": "PBE", "state": "optimized geometry", "formation_enthalpy_0k_ev_per_atom": -0.70, "spacegroup": "Cmmm (65)", "dft_energy_ev_per_atom": -6.7371, "cell": [[4.739, -0.028, 1.579], [0.037, 6.938, 0.012], [0.001, -0.014, 7.898]], "species": ["Pr", "Rh", "Rh", "Rh", "Rh", "Rh", "Rh", "Sm", "Sm", "Sm", "Sm", "Sm"], "fractional_positions": [[0.000, 0.000, 0.000], [0.832, 0.749, 0.337], [0.832, 0.251, 0.337], [0.500, 0.255, 0.000], [0.500, 0.745, 0.000], [0.168, 0.749, 0.663], [0.168, 0.251, 0.663], [0.667, 0.500, 0.666], [0.333, 0.000, 0.334], [0.000, 0.500, 0.000], [0.667, 0.000, 0.666], [0.333, 0.500, 0.334]]}

# 2
{"formula": "Sm2YS3", "functional": "PBE", "state": "optimized geometry", "formation_energy_uncorrected_ev_per_atom": -2.013, "spacegroup": "Immm (71)", "dft_energy_ev_per_atom": -6.7267, "cell": [[3.982, 0.000, 0.000], [0.000, 5.625, 0.000], [-1.991, -2.812, 5.967]], "species": ["Sm", "Sm", "Y", "S", "S", "S"], "fractional_positions": [[0.831, 0.831, 0.162], [0.169, 0.169, 0.838], [0.500, 0.500, 0.500], [0.838, 0.338, 0.177], [0.162, 0.662, 0.823], [0.500, 0.000, 0.500]]}